! LiLa2Cl (PBE, relaxed); values from VASP
&SYSTEM
  ibrav = 0, nat = 4, ntyp = 3
/
ATOMIC_SPECIES
La 138.91 La.upf
Cl 35.45 Cl.upf
Li 6.94 Li.upf
ATOMIC_POSITIONS crystal
La 0.250 0.750 0.500
La 0.000 0.000 0.000
Cl 0.750 0.250 0.500
Li 0.500 0.500 0.000
CELL_PARAMETERS angstrom
6.970 0.015 0.000
4.353 5.444 0.000
-5.661 -2.729 3.013
! symmetry: I-4m2 (119)
! total magnetic moment: 0.072 μB per atom
! Fermi-level density of states: 1.25 states/eV/atom
! crystal system: tetragonal
! energy relative to the lowest polymorph listed for this composition: 304 meV per atom
! raw formation energy: -0.376 eV/atom

---

! TlIn4Pb2 (PBE, relaxed); values from VASP
&SYSTEM
  ibrav = 0, nat = 7, ntyp = 3
/
ATOMIC_SPECIES
In 114.82 In.upf
Pb 207.20 Pb.upf
Tl 204.38 Tl.upf
ATOMIC_POSITIONS crystal
In 0.856 0.856 0.711
In 0.144 0.144 0.289
In 0.250 0.750 0.500
In 0.750 0.250 0.500
Pb 0.415 0.415 0.830
Pb 0.585 0.585 0.170
Tl 0.000 0.000 0.000
CELL_PARAMETERS angstrom
4.429 0.000 0.000
0.000 4.429 0.000
-2.214 -2.214 10.648
! symmetry: I4/mmm (139)
! total magnetic moment: 0.000 μB per atom
! Fermi-level density of states: 0.55 states/eV/atom
! crystal system: tetragonal
! energy relative to the lowest polymorph listed for this composition: 0 meV per atom
! formation energy: 82 meV/atom

---

! Pr8ErTm3 (PBE, relaxed); values from VASP
&SYSTEM
  ibrav = 0, nat = 12, ntyp = 3
/
ATOMIC_SPECIES
Pr 140.91 Pr.upf
Tm 168.93 Tm.upf
Er 167.26 Er.upf
ATOMIC_POSITIONS crystal
Pr 0.682 0.365 0.029
Pr 0.184 0.865 0.031
Pr 0.319 0.135 0.969
Pr 0.681 0.865 0.031
Pr 0.816 0.135 0.969
Pr 0.182 0.363 0.030
Pr 0.818 0.637 0.970
Pr 0.318 0.635 0.971
Tm 0.500 0.500 0.000
Tm 0.500 0.000 0.000
Tm 0.000 0.500 0.000
Er 0.000 0.000 0.000
CELL_PARAMETERS angstrom
-1.549 10.803 5.076
-7.467 -9.651 3.992
8.904 2.849 -3.348
! symmetry: C2/m (12)
! total magnetic moment: 0.000 μB per atom
! Fermi-level density of states: 1.77 states/eV/atom
! crystal system: monoclinic
! formation energy: 110 meV/atom

---

! Rb2HfSbF6 (PBE, relaxed); values from VASP
&SYSTEM
  ibrav = 0, nat = 10, ntyp = 4
/
ATOMIC_SPECIES
Sb 121.76 Sb.upf
F 19.00 F.upf
Rb 85.47 Rb.upf
Hf 178.49 Hf.upf
ATOMIC_POSITIONS crystal
Sb 0.500 0.500 0.000
F 0.216 0.216 0.000
F 0.784 0.216 0.000
F 0.216 0.784 0.000
F 0.825 0.825 0.349
F 0.175 0.175 0.651
F 0.784 0.784 0.000
Rb 0.750 0.250 0.500
Rb 0.250 0.750 0.500
Hf 0.000 0.000 0.000
CELL_PARAMETERS angstrom
6.579 0.000 0.000
0.000 6.579 0.000
3.290 3.290 5.736
! symmetry: I4/mmm (139)
! total magnetic moment: 0.100 μB per atom
! Fermi-level density of states: 0.51 states/eV/atom
! crystal system: tetragonal
! raw formation energy: -2.695 eV/atom

---

Raw total energy
In order: -3.780, -2.880, -4.574, -5.419
Unit: eV per atom